# 1
First-principles (GGA-PBE) data for a relaxed YScPbO2 crystal, as listed in the Alexandria database.

Cell lengths 3.7484, 3.7484, 13.8745 Å; angles 90.00, 90.00, 90.00 degrees
Space group I4mm (No. 107)
Asymmetric unit:
Y  0.0000  0.0000  0.0000 [2 per cell]
Sc  0.0000  0.0000  0.3469 [2 per cell]
Pb  0.0000  0.0000  0.6752 [2 per cell]
O  0.0000  0.5000  0.4134 [4 per cell]

formation energy without anion corrections = -2468 meV/atom
calculated volume = 19.5 A^3/atom
crystal system = tetragonal



# 2
First-principles (GGA-PBE) data for a relaxed Th4Co2Hg5 crystal, as listed in the Alexandria database.

Cell lengths 7.8950, 3.6548, 9.5072 Å; angles 90.00, 94.79, 90.00 degrees
Space group P2/m (No. 10)
Asymmetric unit:
Th  0.1857  0.0000  0.3359 [2 per cell]
Th  0.2091  0.0000  0.9362 [2 per cell]
Co  0.0813  0.5000  0.1328 [2 per cell]
Hg  0.1546  0.5000  0.6367 [2 per cell]
Hg  0.4597  0.5000  0.1662 [2 per cell]
Hg  0.5000  0.5000  0.5000 [1 per cell]

calculated volume = 24.9 A^3/atom
crystal system = monoclinic
energy = -4.43 eV per atom



# 3
First-principles (GGA-PBE) data for a relaxed Pr4Er2TmMg crystal, as listed in the Alexandria database.

Cell lengths 5.7864, 5.7864, 7.7675 Å; angles 90.00, 90.00, 90.00 degrees
Space group P4/mmm (No. 123)
Asymmetric unit:
Pr  0.0000  0.5000  0.2422 [4 per cell]
Er  0.0000  0.0000  0.0000 [1 per cell]
Er  0.5000  0.5000  0.5000 [1 per cell]
Tm  0.0000  0.0000  0.5000 [1 per cell]
Mg  0.5000  0.5000  0.0000 [1 per cell]

calculated volume = 32.5 A^3/atom
crystal system = tetragonal
energy = -4.25 eV per atom



# 4
First-principles (GGA-PBE) data for a relaxed Ga2CuAu6 crystal, as listed in the Alexandria database.

Cell lengths 12.8214, 4.5714, 7.9882 Å; angles 90.00, 113.36, 90.00 degrees
Space group C2/m (No. 12)
Asymmetric unit:
Ga  0.1888  0.0000  0.1268 [4 per cell]
Cu  0.0000  0.0000  0.5000 [2 per cell]
Au  0.0062  0.0000  0.1799 [4 per cell]
Au  0.0763  0.5000  0.6815 [4 per cell]
Au  0.2147  0.0000  0.7945 [4 per cell]

calculated volume = 23.9 A^3/atom
crystal system = monoclinic
energy = -3.25 eV per atom



# 5
First-principles (GGA-PBE) data for a relaxed PrNd2Ho2Er2 crystal, as listed in the Alexandria database.

Cell lengths 3.5246, 5.5916, 23.3014 Å; angles 90.00, 90.00, 90.00 degrees
Space group Immm (No. 71)
Asymmetric unit:
Pr  0.0000  0.0000  0.0000 [2 per cell]
Nd  0.0000  0.0000  0.4275 [4 per cell]
Ho  0.0000  0.5000  0.2093 [4 per cell]
Er  0.0000  0.5000  0.3535 [4 per cell]

calculated volume = 32.8 A^3/atom
crystal system = orthorhombic
energy = -4.59 eV per atom



# 6
First-principles (GGA-PBE) data for a relaxed Tb2PaPt crystal, as listed in the Alexandria database.

Cell lengths 3.4110, 3.4110, 32.0369 Å; angles 90.00, 90.00, 120.00 degrees
Space group R-3m (No. 166, hexagonal axes)
Asymmetric unit:
Tb  0.0000  0.0000  0.1029 [6 per cell]
Pa  0.0000  0.0000  0.0000 [3 per cell]
Pt  0.0000  0.0000  0.5000 [3 per cell]

calculated volume = 26.9 A^3/atom
crystal system = trigonal
energy = -6.28 eV per atom



Computed values of total moment (unit: μB/f.u.) for the preceding records, in sequence: 0.00 0.00 0.00 0.00 0.00 0.00.